1.
Crystalline ZnTcOs4 at its relaxed geometry, computed with PBE.

Properties
ρ in Mg/m³: 16.2
Magnetization in μB per formula unit: 0.00
Space-group type: F-43m (216)
Uncorrected energy in eV per atom: -8.721

a b c (Å): 5.1122 5.1122 5.1122
angles (deg): 60.00 60.00 60.00
Fractional coordinates of all 6 atoms:
Zn (0.0000, 0.0000, 0.0000)
Os (0.3749, 0.3749, 0.3749)
Os (0.3749, 0.3749, 0.8753)
Os (0.8753, 0.3749, 0.3749)
Os (0.3749, 0.8753, 0.3749)
Tc (0.7500, 0.7500, 0.7500)

=====

2.
Crystalline ZnTcOs2 at its relaxed geometry, computed with PBE.

Properties
ρ in Mg/m³: 15.8
Magnetization in μB per formula unit: 0.00
Space-group type: Pmmm (47)
Uncorrected energy in eV per atom: -8.327

a b c (Å): 2.7648 3.9120 5.2829
angles (deg): 90.00 90.00 90.00
Fractional coordinates of all 4 atoms:
Os (0.0000, 0.0000, 0.9949)
Os (0.0000, 0.0000, 0.5051)
Zn (0.5000, 0.5000, 0.7500)
Tc (0.5000, 0.5000, 0.2500)

=====

3.
Crystalline ZnTcOs2 at its relaxed geometry, computed with PBE.

Properties
ρ in Mg/m³: 15.8
Magnetization in μB per formula unit: 0.00
Space-group type: Pmm2 (25)
Uncorrected energy in eV per atom: -8.342

a b c (Å): 2.7641 3.9461 5.2270
angles (deg): 90.00 90.00 90.00
Fractional coordinates of all 4 atoms:
Os (0.0000, 0.0000, 0.9895)
Os (0.5000, 0.5000, 0.2515)
Tc (0.0000, 0.0000, 0.5079)
Zn (0.5000, 0.5000, 0.7511)

=====

Copy entry 2 word for word.
Crystalline ZnTcOs2 at its relaxed geometry, computed with PBE.

Properties
ρ in Mg/m³: 15.8
Magnetization in μB per formula unit: 0.00
Space-group type: Pmmm (47)
Uncorrected energy in eV per atom: -8.327

a b c (Å): 2.7648 3.9120 5.2829
angles (deg): 90.00 90.00 90.00
Fractional coordinates of all 4 atoms:
Os (0.0000, 0.0000, 0.9949)
Os (0.0000, 0.0000, 0.5051)
Zn (0.5000, 0.5000, 0.7500)
Tc (0.5000, 0.5000, 0.2500)

=====

> Which of these has the highest ρ?

ZnTcOs4

=====

> Number 2 is which compound?

ZnTcOs2

=====

Copy entry 3 word for word.
Crystalline ZnTcOs2 at its relaxed geometry, computed with PBE.

Properties
ρ in Mg/m³: 15.8
Magnetization in μB per formula unit: 0.00
Space-group type: Pmm2 (25)
Uncorrected energy in eV per atom: -8.342

a b c (Å): 2.7641 3.9461 5.2270
angles (deg): 90.00 90.00 90.00
Fractional coordinates of all 4 atoms:
Os (0.0000, 0.0000, 0.9895)
Os (0.5000, 0.5000, 0.2515)
Tc (0.0000, 0.0000, 0.5079)
Zn (0.5000, 0.5000, 0.7511)